Record 1
This record from the Alexandria database describes a geometry-optimized Pa4Ge8Rh structure. The functional is PBE.

a b c (Å): 4.0611 4.1204 16.0975
angles (deg): 90.00 90.00 90.00
Closest atoms and distances in Å follow each position.
Space group Pmm2 (No. 25)
Unique sites:
Pa 0.0000 0.0000 0.0000 x1  10 Ge 2.98-3.11
Pa 0.0000 0.5000 0.4851 x1  10 Ge 2.96-3.31
Pa 0.5000 0.0000 0.7867 x1  10 Ge 3.10-3.40, 4 Rh 3.17
Pa 0.5000 0.5000 0.2793 x1  10 Ge 2.98-3.24
Ge 0.0000 0.0000 0.3245 x1  2 Ge 2.70, 4 Pa 2.98
Ge 0.0000 0.0000 0.6193 x1  2 Rh 2.49
Ge 0.0000 0.5000 0.1407 x1  4 Ge 2.89, 4 Pa 3.02-3.06
Ge 0.0000 0.5000 0.8556 x1  1 Rh 2.41, 2 Ge 2.58
Ge 0.5000 0.0000 0.1395 x1  4 Ge 2.89, 4 Pa 3.03-3.05
Ge 0.5000 0.0000 0.4348 x1  2 Ge 2.70, 4 Pa 3.00
Ge 0.5000 0.5000 0.6186 x1  2 Rh 2.47
Ge 0.5000 0.5000 0.9550 x1  2 Ge 2.58
Rh 0.0000 0.5000 0.7057 x1  5 Ge 2.41-2.49

Properties
DFT formation energy ... -480.6 meV per atom
V ... 269 Å³/cell

=====

Record 2
This record from the Alexandria database describes a geometry-optimized NaSc2Au structure. The functional is PBE.

a b c (Å): 3.4380 3.4380 31.6694
angles (deg): 90.00 90.00 120.00
Closest atoms and distances in Å follow each position.
Space group R-3m (No. 166, hexagonal axes)
Unique sites:
Na 0.0000 0.0000 0.0000 x3  2 Sc 3.30, 6 Na 3.44
Sc 0.0000 0.0000 0.1042 x6  3 Au 2.80
Au 0.0000 0.0000 0.5000 x3  6 Sc 2.80

Properties
DFT formation energy ... -32.3 meV per atom
V ... 324 Å³/cell

=====

Record 3
This record from the Alexandria database describes a geometry-optimized Tb2Sm2Tm2Mg structure. The functional is PBE.

a b c (Å): 12.0949 3.6542 11.5062
angles (deg): 90.00 119.28 90.00
Closest atoms and distances in Å follow each position.
Space group C2/m (No. 12)
Unique sites:
Tb 0.1810 0.0000 0.0880 x4  4 Sm 3.47-3.85, 2 Tm 3.49, 5 Tb 3.65-3.82
Sm 0.0255 0.0000 0.7421 x4  2 Mg 3.22, 3 Tb 3.47-3.60, 3 Tm 3.50-3.51
Tm 0.2443 0.0000 0.6249 x4  2 Mg 3.16, 2 Tm 3.46, 2 Tb 3.49, 3 Sm 3.50-3.51
Mg 0.0000 0.5000 0.5000 x2  4 Tm 3.16, 4 Sm 3.22

Properties
DFT formation energy ... 86.1 meV per atom
V ... 444 Å³/cell

=====

Record 4
This record from the Alexandria database describes a geometry-optimized TaSi2Os structure. The functional is PBE.

a b c (Å): 6.1071 6.1071 6.1071
angles (deg): 90.00 90.00 90.00
Closest atoms and distances in Å follow each position.
Space group Fm-3m (No. 225)
Unique sites:
Ta 0.0000 0.0000 0.0000 x4  8 Si 2.64
Si 0.2500 0.2500 0.2500 x8  4 Ta 2.64, 4 Os 2.64
Os 0.0000 0.0000 0.5000 x4  8 Si 2.64

Properties
Raw formation energy ... -0.068 eV/atom
V ... 228 Å³/cell

=====

Record 5
This record from the Alexandria database describes a geometry-optimized Pd3NF structure. The functional is PBE.

a b c (Å): 4.1095 4.1095 4.1095
angles (deg): 90.00 90.00 90.00
Closest atoms and distances in Å follow each position.
Space group Pm-3m (No. 221)
Unique sites:
Pd 0.0000 0.0000 0.5000 x3  2 N 2.05
N 0.0000 0.0000 0.0000 x1  6 Pd 2.05
F 0.5000 0.5000 0.5000 x1  12 Pd 2.91

Properties
Raw formation energy ... 0.110 eV/atom
V ... 69 Å³/cell
ΔE to the lowest computed polymorph ... 0 meV/atom

=====

Record 6
This record from the Alexandria database describes a geometry-optimized Co2SbP structure. The functional is PBE.

a b c (Å): 2.9661 3.3154 6.1805
angles (deg): 90.00 100.54 90.00
Closest atoms and distances in Å follow each position.
Space group P2/m (No. 10)
Unique sites:
Co 0.1807 0.0000 0.3156 x2  2 P 2.13
Sb 0.5000 0.5000 0.0000 x1  8 Co 2.85-3.03, 2 Sb 2.97, 2 P 3.17
P 0.0000 0.5000 0.5000 x1  4 Co 2.13

Properties
Raw formation energy ... 0.096 eV/atom
V ... 60 Å³/cell
ΔE to the lowest computed polymorph ... 316 meV/atom

=====

Record 7
This record from the Alexandria database describes a geometry-optimized TaFeSb2 structure. The functional is PBE.

a b c (Å): 6.3018 8.5367 3.1121
angles (deg): 90.00 109.25 90.00
Closest atoms and distances in Å follow each position.
Space group C2/m (No. 12)
Unique sites:
Ta 0.0000 0.0000 0.0000 x2  4 Sb 2.80, 2 Ta 3.11
Fe 0.0000 0.5000 0.0000 x2  4 Sb 2.80, 2 Fe 3.11
Sb 0.2500 0.2500 0.5000 x4  2 Ta 2.80, 2 Fe 2.80, 2 Sb 3.11

Properties
Raw formation energy ... 0.500 eV/atom
V ... 158 Å³/cell
ΔE to the lowest computed polymorph ... 469 meV/atom

=====

Record 8
This record from the Alexandria database describes a geometry-optimized Ba2SiPb structure. The functional is PBE.

a b c (Å): 3.8105 3.8105 9.7126
angles (deg): 90.00 90.00 90.00
Closest atoms and distances in Å follow each position.
Space group P4/mmm (No. 123)
Unique sites:
Ba 0.0000 0.0000 0.2215 x2  4 Si 3.45, 4 Ba 3.81, 4 Pb 3.82
Si 0.5000 0.5000 0.0000 x1  8 Ba 3.45, 4 Si 3.81
Pb 0.5000 0.5000 0.5000 x1  4 Pb 3.81, 8 Ba 3.82

Properties
Raw formation energy ... -0.282 eV/atom
V ... 141 Å³/cell
ΔE to the lowest computed polymorph ... 153 meV/atom

=====

Record 9
This record from the Alexandria database describes a geometry-optimized Na4Tb3ZrSe8 structure. The functional is PBE.

a b c (Å): 8.1700 8.1700 21.1281
angles (deg): 90.00 90.00 120.00
Closest atoms and distances in Å follow each position.
Space group R-3m (No. 166, hexagonal axes)
Unique sites:
Na 0.0000 0.0000 0.0000 x3  6 Se 3.10
Na 0.0000 0.5000 0.0000 x9  6 Se 3.01
Tb 0.0000 0.5000 0.5000 x9  6 Se 2.88-2.89
Zr 0.0000 0.0000 0.5000 x3  6 Se 2.79
Se 0.0000 0.0000 0.2446 x6  3 Tb 2.88, 3 Na 3.01
Se 0.0117 0.5059 0.2428 x18  1 Zr 2.79, 2 Tb 2.89, 3 Na 3.01-3.10

Properties
Raw formation energy ... -1.585 eV/atom
V ... 1221 Å³/cell

=====

Record 10
This record from the Alexandria database describes a geometry-optimized Ta2InRh structure. The functional is PBE.

a b c (Å): 10.2667 2.9956 5.0504
angles (deg): 90.00 112.55 90.00
Closest atoms and distances in Å follow each position.
Space group Cm (No. 8)
Unique sites:
Ta 0.0000 0.0000 0.0000 x2  2 Rh 2.72, 5 Ta 2.85-3.00, 4 In 2.95-2.96
Ta 0.2452 0.0000 0.8381 x2  4 Rh 2.81-3.08, 5 Ta 2.85-3.00, 2 In 3.12
In 0.4669 0.0000 0.4759 x2  3 Rh 2.80-2.90, 6 Ta 2.95-3.12, 2 In 3.00
Rh 0.2196 0.5000 0.3490 x2  4 Ta 2.72-2.81, 3 In 2.80-2.90, 2 Rh 3.00

Properties
DFT formation energy ... -71.8 meV per atom
V ... 143 Å³/cell

=====

Record 11
This record from the Alexandria database describes a geometry-optimized SmPuTl2 structure. The functional is PBE.

a b c (Å): 3.4332 3.4332 9.4098
angles (deg): 90.00 90.00 90.00
Closest atoms and distances in Å follow each position.
Space group P4/mmm (No. 123)
Unique sites:
Sm 0.0000 0.0000 0.0000 x1  8 Tl 3.38, 4 Sm 3.43
Pu 0.0000 0.0000 0.5000 x1  8 Tl 3.38, 4 Pu 3.43
Tl 0.5000 0.5000 0.2501 x2  4 Pu 3.38, 4 Sm 3.38, 4 Tl 3.43

Properties
DFT formation energy ... -186.7 meV per atom
V ... 111 Å³/cell
ΔE to the lowest computed polymorph ... 0 meV/atom

=====

Record 12
This record from the Alexandria database describes a geometry-optimized Ce4Bi3Se structure. The functional is PBE.

a b c (Å): 7.8246 9.0262 7.7994
angles (deg): 90.00 109.47 90.00
Closest atoms and distances in Å follow each position.
Space group P2/c (No. 13)
Unique sites:
Ce 0.2352 0.1169 0.0014 x4  2 Se 3.09, 4 Bi 3.18-3.29
Ce 0.2436 0.3665 0.4914 x4  1 Se 3.10, 5 Bi 3.18-3.29
Bi 0.0000 0.3745 0.7500 x2  6 Ce 3.20
Bi 0.5000 0.1249 0.7500 x2  6 Ce 3.18-3.29
Bi 0.5000 0.3753 0.2500 x2  6 Ce 3.18-3.29
Se 0.0000 0.1237 0.2500 x2  6 Ce 3.09-3.10

Properties
Raw formation energy ... -1.018 eV/atom
V ... 519 Å³/cell

=====

Record 13
This record from the Alexandria database describes a geometry-optimized CaTlB3 structure. The functional is PBE.

a b c (Å): 4.6176 4.6176 4.6176
angles (deg): 90.00 90.00 90.00
Closest atoms and distances in Å follow each position.
Space group Pm-3m (No. 221)
Unique sites:
Ca 0.0000 0.0000 0.0000 x1  12 B 3.27
Tl 0.5000 0.5000 0.5000 x1  6 B 2.31
B 0.0000 0.5000 0.5000 x3  2 Tl 2.31

Properties
DFT formation energy ... 1917.4 meV per atom
V ... 98 Å³/cell
ΔE to the lowest computed polymorph ... 0 meV/atom

=====

Record 14
This record from the Alexandria database describes a geometry-optimized SnI2NO structure. The functional is PBE.

a b c (Å): 6.0526 6.0526 3.9613
angles (deg): 90.00 90.00 90.00
Closest atoms and distances in Å follow each position.
Space group P4/mmm (No. 123)
Unique sites:
Sn 0.0000 0.0000 0.0000 x1  2 O 1.98
I 0.0000 0.5000 0.0000 x2  2 Sn 3.03
N 0.5000 0.5000 0.5000 x1  8 I 3.62, 2 N 3.96
O 0.0000 0.0000 0.5000 x1  2 Sn 1.98

Properties
Raw formation energy ... 0.705 eV/atom
V ... 145 Å³/cell
ΔE to the lowest computed polymorph ... 0 meV/atom

=====

Record 15
This record from the Alexandria database describes a geometry-optimized Be2PtPb structure. The functional is PBE.

a b c (Å): 3.0617 3.0617 6.9169
angles (deg): 90.00 90.00 90.00
Closest atoms and distances in Å follow each position.
Space group P4/mmm (No. 123)
Unique sites:
Be 0.0000 0.0000 0.1598 x2  1 Be 2.21, 4 Pt 2.43
Pt 0.5000 0.5000 0.0000 x1  8 Be 2.43
Pb 0.5000 0.5000 0.5000 x1  4 Pb 3.06, 8 Be 3.20

Properties
DFT formation energy ... -6.4 meV per atom
V ... 65 Å³/cell

=====

Record 16
This record from the Alexandria database describes a geometry-optimized MoC2 structure. The functional is PBE.

a b c (Å): 3.0729 10.9891 4.0226
angles (deg): 90.00 90.00 90.00
Closest atoms and distances in Å follow each position.
Space group Cmcm (No. 63)
Unique sites:
Mo 0.0000 0.1826 0.2500 x4  6 C 2.02-2.23
C 0.0000 0.1709 0.7500 x4  4 Mo 2.02-2.23
C 0.0000 0.4550 0.7500 x4  2 Mo 2.16, 2 C 2.24

Properties
DFT formation energy ... 1613.0 meV per atom
V ... 136 Å³/cell
ΔE to the lowest computed polymorph ... 1094 meV/atom